1.
Below is a relaxed MgZnTe2 crystal, with properties calculated at the PBE level.

Raw total energy (eV per atom): -2.3750
Raw formation energy (kJ per mole of atoms): -8.40

abc: 5.063 5.063 3.881
angles: 90.00 90.00 99.53
Atoms (fractional coordinates):
Mg 0.000 0.000 0.000
Zn 0.500 0.500 0.000
Te 0.000 0.500 0.500
Te 0.500 0.000 0.500

---

2.
Below is a relaxed NdAl11O18 crystal, with properties calculated at the PBE level.

Energy above the lowest structure with this stoichiometry (meV/atom): 0
Raw total energy (eV per atom): -7.4636
Raw formation energy (kJ per mole of atoms): -285.35

abc: 5.610 5.633 11.488
angles: 76.83 89.76 61.85
Atoms (fractional coordinates):
Nd 0.000 0.000 0.000
Al 0.000 0.500 0.500
Al 0.109 0.312 0.275
Al 0.114 0.805 0.292
Al 0.351 0.797 0.557
Al 0.392 0.189 0.718
Al 0.448 0.583 0.873
Al 0.552 0.417 0.127
Al 0.608 0.811 0.282
Al 0.649 0.203 0.443
Al 0.886 0.195 0.708
Al 0.891 0.688 0.725
O 0.074 0.827 0.793
O 0.078 0.305 0.795
O 0.175 0.129 0.598
O 0.189 0.584 0.608
O 0.272 0.551 0.005
O 0.282 0.418 0.397
O 0.312 0.899 0.392
O 0.404 0.715 0.195
O 0.435 0.183 0.214
O 0.565 0.817 0.786
O 0.596 0.285 0.805
O 0.688 0.101 0.608
O 0.718 0.582 0.603
O 0.728 0.449 0.995
O 0.811 0.416 0.392
O 0.825 0.871 0.402
O 0.922 0.695 0.205
O 0.926 0.173 0.207

---

3.
Below is a relaxed Mg2TcAg crystal, with properties calculated at the PBE level.

Energy above the lowest structure with this stoichiometry (meV/atom): 232
Raw total energy (eV per atom): -3.7837

abc: 3.315 3.315 6.527
angles: 90.00 90.00 90.00
Atoms (fractional coordinates):
Mg 0.000 0.000 0.000
Mg 0.500 0.500 0.297
Tc 0.000 0.000 0.517
Ag 0.500 0.500 0.768

---

4.
Below is a relaxed Cd4ReAu crystal, with properties calculated at the PBE level.

Raw total energy (eV per atom): -2.4664

abc: 5.540 5.540 5.540
angles: 60.00 60.00 60.00
Atoms (fractional coordinates):
Cd 0.125 0.125 0.125
Cd 0.125 0.125 0.626
Cd 0.125 0.626 0.125
Cd 0.626 0.125 0.125
Re 0.750 0.750 0.750
Au 0.500 0.500 0.500

---

5.
Below is a relaxed YHfTa crystal, with properties calculated at the PBE level.

Energy above the lowest structure with this stoichiometry (meV/atom): 7
Raw total energy (eV per atom): -9.2105

abc: 4.952 6.097 6.097
angles: 51.30 90.00 90.00
Atoms (fractional coordinates):
Y 0.250 0.223 0.777
Y 0.750 0.777 0.223
Hf 0.250 0.484 0.123
Hf 0.750 0.123 0.484
Ta 0.250 0.841 0.517
Ta 0.750 0.517 0.841

---

6.
Below is a relaxed TaTl3Cu2S6 crystal, with properties calculated at the PBE level.

Raw total energy (eV per atom): -4.6997
Raw formation energy (kJ per mole of atoms): -36.08

abc: 7.654 7.654 7.066
angles: 97.52 97.52 133.45
Atoms (fractional coordinates):
Ta 0.000 0.000 0.000
Tl 0.181 0.819 0.500
Tl 0.500 0.500 0.500
Tl 0.819 0.181 0.500
Cu 0.408 0.592 0.000
Cu 0.592 0.408 0.000
S 0.138 0.397 0.188
S 0.199 0.199 0.751
S 0.397 0.138 0.188
S 0.603 0.862 0.812
S 0.801 0.801 0.249
S 0.862 0.603 0.812

---

7.
Below is a relaxed MnNi2Br crystal, with properties calculated at the PBE level.

Energy above the lowest structure with this stoichiometry (meV/atom): 310
Raw total energy (eV per atom): -5.0719
Raw formation energy (kJ per mole of atoms): 51.08

abc: 4.912 4.912 4.912
angles: 135.59 135.59 64.61
Atoms (fractional coordinates):
Mn 0.000 0.000 0.000
Ni 0.250 0.750 0.500
Ni 0.500 0.500 0.000
Br 0.750 0.250 0.500

---

8.
Below is a relaxed AcLa2Pr5Sm crystal, with properties calculated at the PBE level.

Raw total energy (eV per atom): -4.4916

abc: 10.434 10.434 10.434
angles: 128.81 128.81 75.31
Atoms (fractional coordinates):
Ac 0.250 0.750 0.500
Ac 0.750 0.250 0.500
La 0.117 0.617 0.734
La 0.383 0.117 0.500
La 0.617 0.883 0.500
La 0.883 0.383 0.266
Pr 0.000 0.000 0.000
Pr 0.078 0.145 0.500
Pr 0.145 0.645 0.067
Pr 0.355 0.422 0.500
Pr 0.422 0.922 0.067
Pr 0.500 0.500 0.000
Pr 0.578 0.078 0.933
Pr 0.645 0.578 0.500
Pr 0.855 0.355 0.933
Pr 0.922 0.855 0.500
Sm 0.250 0.250 0.000
Sm 0.750 0.750 0.000

---

| no. | total magnetic moment (μB/cell) | D(E_F) (states/eV/cell) |
| --- | --- | --- |
| 1 | 0.00 | 1.994 |
| 2 | 0.00 | 0.000 |
| 3 | 1.66 | 2.830 |
| 4 | 2.15 | 5.305 |
| 5 | 0.00 | 7.861 |
| 6 | 0.00 | 7.504 |
| 7 | 5.23 | 3.207 |
| 8 | 0.00 | 30.393 |